# 1
Computed, not measured: an optimized crystal structure of BeHAu at the GGA-PBE level of DFT.

abc: 2.9100 4.6293 5.6535
angles: 94.78 88.61 72.43
Closest atoms and distances in Å follow each position.
Fractional positions:
H1 0.1457 0.2523 0.1403  1 Be 1.52
H2 0.8543 0.7477 0.8597  1 Be 1.52
Au1 0.0692 0.3535 0.7271  1 H 1.83
Au2 0.9308 0.6465 0.2729  1 H 1.83
Be1 0.7731 0.9336 0.6466  1 H 1.52
Be2 0.2269 0.0664 0.3534  1 H 1.52

Computed properties:
**Energy above the lowest structure with this stoichiometry**: 0.0485 eV/atom
**Volume**: 72.3 Å³/cell
**Size of the total moment**: 0.0 Bohr magnetons per cell

=====

# 2
Computed, not measured: an optimized crystal structure of CaTlCl2F at the GGA-PBE level of DFT.

abc: 5.5260 5.5260 4.3574
angles: 90.00 90.00 90.00
Closest atoms and distances in Å follow each position.
Fractional positions:
Cl1 0.0000 0.5000 0.0000  2 Ca 2.76
Cl2 0.5000 0.0000 0.0000  2 Ca 2.76
F1 0.0000 0.0000 0.5000  2 Ca 2.18
Tl1 0.5000 0.5000 0.5000  8 Cl 3.52, 4 F 3.91
Ca1 0.0000 0.0000 0.0000  2 F 2.18

Computed properties:
**Energy above the lowest structure with this stoichiometry**: 0.0000 eV/atom
**Volume**: 133.1 Å³/cell
**Raw formation energy**: -2.26 eV/atom
**Size of the total moment**: 0.0 Bohr magnetons per cell

=====

# 3
Computed, not measured: an optimized crystal structure of KSnTe2 at the GGA-PBE level of DFT.

abc: 4.4179 4.4179 8.8866
angles: 75.61 75.61 60.00
Closest atoms and distances in Å follow each position.
Fractional positions:
Te1 0.2645 0.2645 0.2064  3 Sn 3.10
Te2 0.0687 0.0687 0.7940  3 Sn 3.09
K1 0.5000 0.5000 0.5001  6 Te 3.57
Sn1 0.6668 0.6668 0.9996  6 Te 3.09-3.10

Computed properties:
**Volume**: 143.9 Å³/cell
**Raw formation energy**: -0.53 eV/atom
**Size of the total moment**: 0.0 Bohr magnetons per cell

=====

# 4
Computed, not measured: an optimized crystal structure of CuNi at the GGA-PBE level of DFT.

abc: 2.5133 2.5133 8.3138
angles: 90.00 90.00 120.00
Closest atoms and distances in Å follow each position.
Fractional positions:
Ni1 0.3333 0.6667 0.7460  9 Ni 2.48-2.51, 3 Cu 2.54
Ni2 0.0000 0.0000 0.5040  9 Ni 2.48-2.51, 3 Cu 2.54
Cu1 0.3333 0.6667 0.2534  9 Cu 2.51-2.58, 3 Ni 2.54
Cu2 0.0000 0.0000 0.9966  9 Cu 2.51-2.58, 3 Ni 2.54

Computed properties:
**Volume**: 45.5 Å³/cell
**Energy of formation**: 0.03 eV per atom
**Size of the total moment**: 0.8 Bohr magnetons per cell

=====

# 5
Computed, not measured: an optimized crystal structure of NdH3Pt at the GGA-PBE level of DFT.

abc: 3.7945 3.7945 3.7945
angles: 90.00 90.00 90.00
Closest atoms and distances in Å follow each position.
Fractional positions:
H1 0.0000 0.0000 0.5000  2 Pt 1.90
H2 0.0000 0.5000 0.0000  2 Pt 1.90
H3 0.5000 0.0000 0.0000  2 Pt 1.90
Pt1 0.0000 0.0000 0.0000  6 H 1.90
Nd1 0.5000 0.5000 0.5000  12 H 2.68

Computed properties:
**Volume**: 54.6 Å³/cell
**Size of the total moment**: 0.0 Bohr magnetons per cell
**Energy**: -4.683 eV per atom